No. 1
# ScTaC2I

Crystalline ScTaC2I at its relaxed geometry (GGA-PBE, Alexandria via LeMat-Bulk).

Computed properties:
Magnetic moment ... 0.00 μB/f.u.
DFT total energy ... -4.886 eV/atom
Formation energy (no corrections) ... 2751 meV per atom

Structure (POSCAR):
```
ScTaC2I
1.0
4.311 0.000 0.000
0.000 5.229 0.000
0.000 0.000 4.311
C Sc I Ta
2 1 1 1
direct
0.500 0.000 0.000 C
0.000 0.000 0.500 C
0.500 0.500 0.500 Sc
0.000 0.000 0.000 I
0.000 0.500 0.000 Ta
```

***

No. 2
# BC7

Crystalline BC7 at its relaxed geometry (GGA-PBE, Alexandria via LeMat-Bulk).

Computed properties:
Magnetic moment ... 0.00 μB/f.u.
DFT total energy ... -8.676 eV/atom
Formation energy ... 0.230 eV per atom

Structure (POSCAR):
```
BC7
1.0
5.720 -4.806 4.207
7.247 -3.921 2.370
6.856 -2.542 4.476
C B
7 1
direct
0.999 0.999 0.999 C
0.442 0.442 0.442 C
0.685 0.685 0.685 C
0.189 0.189 0.189 C
0.250 0.250 0.250 C
0.936 0.936 0.936 C
0.501 0.501 0.501 C
0.749 0.749 0.749 B
```

***

No. 3
# LaErSn2

Crystalline LaErSn2 at its relaxed geometry (GGA-PBE, Alexandria via LeMat-Bulk).

Computed properties:
Magnetic moment ... 0.00 μB/f.u.
DFT total energy ... -5.093 eV/atom
Formation energy ... -0.719 eV per atom

Structure (POSCAR):
```
LaErSn2
1.0
4.369 0.000 -1.591
0.000 4.372 0.000
-0.186 0.000 6.281
Sn La Er
2 1 1
direct
0.172 0.500 0.884 Sn
0.991 0.000 0.521 Sn
0.718 0.000 0.976 La
0.449 0.500 0.437 Er
```

***

No. 4
# YZnCd

Crystalline YZnCd at its relaxed geometry (GGA-PBE, Alexandria via LeMat-Bulk).

Computed properties:
Magnetic moment ... 0.00 μB/f.u.
DFT total energy ... -2.697 eV/atom
Formation energy ... 0.187 eV per atom

Structure (POSCAR):
```
YZnCd
1.0
-3.849 0.598 2.970
-3.631 -3.288 -0.004
-0.614 -2.975 3.842
Zn Y Cd
1 1 1
direct
0.000 0.000 0.000 Zn
0.750 0.750 0.750 Y
0.500 0.500 0.500 Cd
```

***

No. 5
# TlIn2GaTc

Crystalline TlIn2GaTc at its relaxed geometry (GGA-PBE, Alexandria via LeMat-Bulk).

Computed properties:
Magnetic moment ... 0.00 μB/f.u.
DFT total energy ... -4.091 eV/atom
Formation energy ... 0.156 eV per atom

Structure (POSCAR):
```
TlIn2GaTc
1.0
-4.673 -2.108 -1.153
2.157 -4.792 0.018
-0.989 -0.427 4.790
Tl In Tc Ga
1 2 1 1
direct
0.500 0.500 0.500 Tl
0.500 0.000 0.000 In
0.000 0.500 0.000 In
0.000 0.000 0.000 Tc
0.000 0.000 0.500 Ga
```

***

No. 6
# CaZrReW2

Crystalline CaZrReW2 at its relaxed geometry (GGA-PBE, Alexandria via LeMat-Bulk).

Computed properties:
Magnetic moment ... 1.03 μB/f.u.
DFT total energy ... -7.728 eV/atom
Formation energy ... 2.053 eV per atom

Structure (POSCAR):
```
CaZrReW2
1.0
4.909 0.000 0.000
0.000 4.943 0.000
0.000 0.000 4.909
W Zr Ca Re
2 1 1 1
direct
0.000 0.000 0.500 W
0.500 0.000 0.000 W
0.000 0.000 0.000 Zr
0.500 0.500 0.500 Ca
0.000 0.500 0.000 Re
```